(1)
The following is a PBE calculation of an optimized crystal structure of YHgPt3, from the Alexandria database.

```
YHgPt3
1.0
4.993 0.000 0.000
0.000 4.993 0.000
0.000 0.000 4.993
Y Hg Pt
1 1 3
Cartesian
0.000 0.000 0.000
2.497 2.497 2.497
0.000 2.497 2.497
2.497 0.000 2.497
2.497 2.497 0.000
```

## Properties
Offset from the most stable computed form = 0.00 eV/f.u.
Space group = Pm-3m (221)
Spin magnetization = 0.00 μB/cell
Density of states at the Fermi level = 0.493 states/eV/atom
Uncorrected energy = -4.5259 eV/atom
E_form = 0.45 eV per atom

=====

(2)
The following is a PBE calculation of an optimized crystal structure of Y3Hg3Pt2, from the Alexandria database.

```
Y3Hg3Pt2
1.0
7.706 0.000 0.000
-3.853 6.674 0.000
0.000 0.000 3.629
Y Hg Pt
3 3 2
Cartesian
-1.614 2.795 0.000
3.228 0.000 0.000
2.239 3.878 0.000
-2.966 5.138 1.815
0.887 1.536 1.815
5.933 0.000 1.815
0.000 4.449 1.815
3.853 2.225 1.815
```

## Properties
Space group = P-62m (189)
Spin magnetization = 0.00 μB/cell
Density of states at the Fermi level = 0.777 states/eV/atom
Uncorrected energy = -4.8828 eV/atom
E_form = -0.84 eV per atom

=====

(3)
The following is a PBE calculation of an optimized crystal structure of YHg2Pt2, from the Alexandria database.

```
YHg2Pt2
1.0
7.298 0.000 0.000
0.000 7.298 0.000
0.000 0.000 3.958
Y Hg Pt
2 4 4
Cartesian
0.000 0.000 0.000
3.649 3.649 0.000
1.222 2.427 1.979
2.427 6.076 1.979
4.871 1.222 1.979
6.076 4.871 1.979
0.960 4.609 0.000
2.689 0.960 0.000
4.609 6.338 0.000
6.338 2.689 0.000
```

## Properties
Offset from the most stable computed form = 0.21 eV/f.u.
Space group = P4/mbm (127)
Spin magnetization = 0.00 μB/cell
Density of states at the Fermi level = 0.500 states/eV/atom
Uncorrected energy = -4.2667 eV/atom
E_form = -0.44 eV per atom